# 1
Compound: TlAsS2N
Source: the Alexandria database
Functional: GGA-PBE
Structure: optimized geometry

Computed properties:
The density of states at the Fermi level is 6.69 states/eV/cell. The calculation puts the formation energy (no corrections) at 1565 meV/atom.

Cell: 5.1641 5.1641 4.0935 Å, 90.00 90.00 90.00°
With the nearest neighbours (Å) after each atom.
Fractional positions:
Tl 0.0000 0.0000 0.0000  2 N 2.05
As 0.5000 0.5000 0.5000  8 S 3.29, 4 N 3.65
S 0.0000 0.5000 0.0000  2 Tl 2.58
S 0.5000 0.0000 0.0000  2 Tl 2.58
N 0.0000 0.0000 0.5000  2 Tl 2.05

# 2
Compound: TlAsS2N
Source: the Alexandria database
Functional: GGA-PBE
Structure: optimized geometry

Computed properties:
The density of states at the Fermi level is 3.86 states/eV/cell. The calculation puts the formation energy (no corrections) at 651 meV/atom.

Cell: 4.9916 4.9916 3.7393 Å, 90.00 90.00 90.00°
With the nearest neighbours (Å) after each atom.
Fractional positions:
Tl 0.0000 0.0000 0.0000  8 S 3.12
As 0.5000 0.5000 0.5000  2 N 1.87
S 0.0000 0.5000 0.5000  2 As 2.50
S 0.5000 0.0000 0.5000  2 As 2.50
N 0.5000 0.5000 0.0000  2 As 1.87

# 3
Compound: VAsS2N
Source: the Alexandria database
Functional: GGA-PBE
Structure: optimized geometry

Computed properties:
The density of states at the Fermi level is 9.33 states/eV/cell. The calculation puts the formation energy (no corrections) at 1033 meV/atom.

Cell: 4.7321 4.7321 3.5906 Å, 90.00 90.00 90.00°
With the nearest neighbours (Å) after each atom.
Fractional positions:
V 0.0000 0.0000 0.0000  8 S 2.97
As 0.5000 0.5000 0.5000  2 N 1.80
S 0.0000 0.5000 0.5000  2 As 2.37
S 0.5000 0.0000 0.5000  2 As 2.37
N 0.5000 0.5000 0.0000  2 As 1.80

# 4
Compound: VAsSN2
Source: the Alexandria database
Functional: GGA-PBE
Structure: optimized geometry

Computed properties:
The density of states at the Fermi level is 3.00 states/eV/cell. The calculation puts the formation energy (no corrections) at 488 meV/atom.

Cell: 3.7535 3.7535 4.9932 Å, 90.00 90.00 90.00°
With the nearest neighbours (Å) after each atom.
Fractional positions:
V 0.0000 0.0000 0.0000  4 N 1.88
As 0.5000 0.5000 0.5000  4 S 2.65
S 0.0000 0.0000 0.5000  2 V 2.50, 4 As 2.65
N 0.0000 0.5000 0.0000  2 V 1.88
N 0.5000 0.0000 0.0000  2 V 1.88